Record 1
! Nd2SmHg2Pb2 | Alexandria | PBE-GGA | optimized geometry; values from VASP
! **Magnetization**: 0.0 μB/cell
! **E_tot**: -24.103 eV for the cell shown
! **Formation enthalpy at 0 K**: -0.2611 eV/atom
&SYSTEM
  ibrav = 0, nat = 7, ntyp = 4
/
ATOMIC_SPECIES
Nd 144.24 Nd.upf
Sm 150.36 Sm.upf
Hg 200.59 Hg.upf
Pb 207.20 Pb.upf
CELL_PARAMETERS angstrom
-1.831 3.678 3.048
1.108 -0.029 4.994
7.273 6.314 1.044
ATOMIC_POSITIONS angstrom
Nd 4.334 4.321 1.684
Nd 2.215 5.642 7.402
Sm 0.000 0.000 0.000
Hg 1.731 3.934 4.879
Hg 4.818 6.029 4.207
Pb 5.473 7.853 6.692
Pb 1.076 2.110 2.394

---

Record 2
! NdSmHgPb | Alexandria | PBE-GGA | optimized geometry; values from VASP
! **Magnetization**: 0.0 μB/cell
! **E_tot**: -15.494 eV for the cell shown
! **Formation enthalpy at 0 K**: -0.4993 eV/atom
&SYSTEM
  ibrav = 0, nat = 4, ntyp = 4
/
ATOMIC_SPECIES
Pb 207.20 Pb.upf
Nd 144.24 Nd.upf
Hg 200.59 Hg.upf
Sm 150.36 Sm.upf
CELL_PARAMETERS angstrom
5.467 0.000 0.000
2.734 4.735 0.000
2.734 1.578 4.464
ATOMIC_POSITIONS angstrom
Pb 2.734 1.578 1.116
Nd 5.467 3.156 2.232
Hg 8.201 4.735 3.348
Sm 0.000 0.000 0.000

---

Record 3
! NdSnHgPb | Alexandria | PBE-GGA | optimized geometry; values from VASP
! **Magnetization**: 0.0 μB/cell
! **ΔE to the lowest computed polymorph**: 142.4 meV/atom
! **E_tot**: -13.975 eV for the cell shown
! **Formation enthalpy at 0 K**: -0.2985 eV/atom
&SYSTEM
  ibrav = 0, nat = 4, ntyp = 4
/
ATOMIC_SPECIES
Pb 207.20 Pb.upf
Nd 144.24 Nd.upf
Hg 200.59 Hg.upf
Sn 118.71 Sn.upf
CELL_PARAMETERS angstrom
5.470 0.000 0.000
2.735 4.737 0.000
2.735 1.579 4.466
ATOMIC_POSITIONS angstrom
Pb 8.204 4.737 3.349
Nd 2.735 1.579 1.116
Hg 5.470 3.158 2.233
Sn 0.000 0.000 0.000

---

Record 4
! NdSnHgPb | Alexandria | PBE-GGA | optimized geometry; values from VASP
! **Magnetization**: 0.0 μB/cell
! **ΔE to the lowest computed polymorph**: 0.0 meV/atom
! **E_tot**: -14.544 eV for the cell shown
! **Formation enthalpy at 0 K**: -0.4408 eV/atom
&SYSTEM
  ibrav = 0, nat = 4, ntyp = 4
/
ATOMIC_SPECIES
Nd 144.24 Nd.upf
Sn 118.71 Sn.upf
Hg 200.59 Hg.upf
Pb 207.20 Pb.upf
CELL_PARAMETERS angstrom
4.636 0.000 0.000
0.000 4.850 0.000
0.000 0.000 4.830
ATOMIC_POSITIONS angstrom
Nd 2.318 0.000 2.415
Sn 0.000 0.000 0.000
Hg 2.318 2.425 0.000
Pb 0.000 2.425 2.415